No. 1
This record from Alexandria describes a relaxed structure of SmY2Er5Tm. The functional is PBE-GGA.

Results
Volume ... 32.03 A^3/atom
Crystal system ... orthorhombic
D(E_F) ... 14.65 states/eV/f.u.
Formation enthalpy at 0 K ... 158 meV per atom
Electronic total energy ... -4.835 eV/atom

a b c (Å): 10.1918 10.1918 10.5438
angles (deg): 90.00 90.00 148.23
Positions (direct):
Sm1 0.0844 0.9156 0.5000
Sm2 0.9156 0.0844 0.0000
Y1 0.3870 0.6130 0.3624
Y2 0.3896 0.6104 0.7785
Y3 0.6104 0.3896 0.2785
Y4 0.6130 0.3870 0.8624
Er1 0.0204 0.9796 0.7813
Er2 0.1116 0.8884 0.0651
Er3 0.2013 0.7987 0.7524
Er4 0.2175 0.7825 0.3547
Er5 0.4804 0.5196 0.0682
Er6 0.5196 0.4804 0.5682
Er7 0.7825 0.2175 0.8547
Er8 0.7987 0.2013 0.2524
Er9 0.8884 0.1116 0.5651
Er10 0.9796 0.0204 0.2813
Tm1 0.2991 0.7009 0.0550
Tm2 0.7009 0.2991 0.5550

***

No. 2
This record from Alexandria describes a relaxed structure of Sm2YErTm2. The functional is PBE-GGA.

Results
Volume ... 32.18 A^3/atom
Crystal system ... monoclinic
D(E_F) ... 10.24 states/eV/f.u.
Formation enthalpy at 0 K ... 143 meV per atom
Electronic total energy ... -4.758 eV/atom

a b c (Å): 6.4868 6.7878 8.8260
angles (deg): 90.00 96.50 90.00
Positions (direct):
Sm1 0.0814 0.2500 0.0217
Sm2 0.1784 0.2500 0.6495
Sm3 0.8216 0.7500 0.3505
Sm4 0.9186 0.7500 0.9783
Y1 0.1895 0.7500 0.6574
Y2 0.8105 0.2500 0.3426
Er1 0.4321 0.7500 0.0127
Er2 0.5679 0.2500 0.9873
Tm1 0.3223 0.5019 0.3322
Tm2 0.3223 0.9981 0.3322
Tm3 0.6777 0.0019 0.6678
Tm4 0.6777 0.4981 0.6678

***

No. 3
This record from Alexandria describes a relaxed structure of Sm6YEr2Tm3. The functional is PBE-GGA.

Results
Volume ... 31.98 A^3/atom
Crystal system ... monoclinic
D(E_F) ... 13.81 states/eV/f.u.
Formation enthalpy at 0 K ... 16 meV per atom
Electronic total energy ... -4.760 eV/atom

a b c (Å): 6.1934 6.1934 11.7301
angles (deg): 95.03 95.03 119.98
Positions (direct):
Sm1 0.0815 0.4158 0.2487
Sm2 0.2500 0.2500 0.7514
Sm3 0.4158 0.0815 0.2487
Sm4 0.5842 0.9185 0.7513
Sm5 0.7500 0.7500 0.2486
Sm6 0.9185 0.5842 0.7513
Y1 0.5000 0.5000 0.5000
Er1 0.1666 0.8334 0.5000
Er2 0.8334 0.1666 0.5000
Tm1 0.0000 0.0000 0.0000
Tm2 0.3333 0.6667 0.0000
Tm3 0.6667 0.3333 0.0000